A geometry-optimized Ta2Ni2Pt7 structure. Source: the Alexandria database, functional GGA-PBE.

Output
* theoretical density: 17.5 g/cm3
* energy: -0.54006 Ry/atom
* energy of formation: -0.30 eV per atom

Unit cell a=7.385 b=8.203 c=6.044 alpha=90.00 beta=107.43 gamma=90.00
Space group C2/m (No. 12)
Symmetry-distinct sites (fractional):
1 Ta 0.214 0.000 0.484 x4
2 Ni 0.000 0.250 0.500 x4
3 Pt 0.000 0.000 0.000 x2
4 Pt 0.086 0.500 0.806 x4
5 Pt 0.184 0.274 0.188 x8



A geometry-optimized CeHo2Th structure. Source: the Alexandria database, functional GGA-PBE.

Output
* theoretical density: 9.3 g/cm3
* energy above the most stable polymorph in this dataset: 181 meV/atom
* energy: -0.39690 Ry/atom
* energy of formation: 0.23 eV per atom

Unit cell a=4.775 b=4.756 c=11.282 alpha=90.00 beta=102.02 gamma=90.00
Space group P2_1/m (No. 11)
Symmetry-distinct sites (fractional):
1 Ce 0.181 0.250 0.368 x2
2 Ho 0.059 0.750 0.120 x2
3 Ho 0.440 0.750 0.878 x2
4 Th 0.319 0.250 0.633 x2



A geometry-optimized CsTl2TeRh structure. Source: the Alexandria database, functional GGA-PBE.

Output
* uncorrected formation energy: -1.22 eV per formula unit
* theoretical density: 7.8 g/cm3
* energy: -0.25429 Ry/atom

Unit cell a=5.390 b=5.390 c=5.682 alpha=90.00 beta=90.00 gamma=90.00
Space group P4/mmm (No. 123)
Symmetry-distinct sites (fractional):
1 Cs 0.000 0.000 0.000 x1
2 Tl 0.000 0.500 0.500 x2
3 Te 0.500 0.500 0.000 x1
4 Rh 0.500 0.500 0.500 x1



A geometry-optimized Nd9DyIn2 structure. Source: the Alexandria database, functional GGA-PBE.

Output
* theoretical density: 7.3 g/cm3
* energy: -0.33730 Ry/atom
* energy of formation: -0.17 eV per atom

Unit cell a=5.011 b=5.011 c=15.353 alpha=90.00 beta=90.00 gamma=90.00
Space group P4/mmm (No. 123)
Symmetry-distinct sites (fractional):
1 Nd 0.000 0.000 0.000 x1
2 Nd 0.000 0.000 0.337 x2
3 Nd 0.000 0.500 0.173 x4
4 Nd 0.000 0.500 0.500 x2
5 Dy 0.500 0.500 0.000 x1
6 In 0.500 0.500 0.339 x2